[1]
Entry from Alexandria via LeMat-Bulk: a relaxed LaHo5As6 crystal (PBE).

Geometry as CIF:
```
data_LaHo5As6
_chemical_formula_sum 'La2 Ho10 As12'
_space_group_name_H-M_alt 'C 1 2/m 1'
_space_group_IT_number 12
_space_group_name_Hall '-C 2y'
_cell_length_a 7.1863
_cell_length_b 12.4455
_cell_length_c 7.1856
_cell_angle_alpha 90.00
_cell_angle_beta 109.49
_cell_angle_gamma 90.00
loop_
_atom_site_label
_atom_site_fract_x
_atom_site_fract_y
_atom_site_fract_z
La1 0.0000 0.0000 0.0000
Ho1 0.0000 0.1649 0.5000
Ho2 0.0000 0.3328 0.0000
Ho3 0.0000 0.5000 0.5000
As1 0.2434 0.5000 0.2540
As2 0.2442 0.3294 0.7448
```

Properties
* ΔH_f (0 K): -1522.7 meV/atom

---

[2]
Entry from Alexandria via LeMat-Bulk: a relaxed Pm6C3F2 crystal (PBE).

Geometry as CIF:
```
data_Pm6C3F2
_chemical_formula_sum 'Pm12 C6 F4'
_space_group_name_H-M_alt 'C 1 2/m 1'
_space_group_IT_number 12
_space_group_name_Hall '-C 2y'
_cell_length_a 6.4143
_cell_length_b 11.0873
_cell_length_c 6.5524
_cell_angle_alpha 90.00
_cell_angle_beta 109.20
_cell_angle_gamma 90.00
loop_
_atom_site_label
_atom_site_fract_x
_atom_site_fract_y
_atom_site_fract_z
Pm1 0.2409 0.1678 0.2245
Pm2 0.2446 0.5000 0.2231
C1 0.0000 0.0000 0.0000
C2 0.0000 0.3325 0.0000
F1 0.0000 0.1677 0.5000
```

Properties
* raw formation energy: -1.132 eV/atom

---

[3]
Entry from Alexandria via LeMat-Bulk: a relaxed Mg2TiP2 crystal (PBE).

Geometry as CIF:
```
data_Mg2TiP2
_chemical_formula_sum 'Mg4 Ti2 P4'
_space_group_name_H-M_alt 'P 4/m b m'
_space_group_IT_number 127
_space_group_name_Hall '-P 4 2ab'
_cell_length_a 6.6673
_cell_length_b 6.6673
_cell_length_c 3.8015
_cell_angle_alpha 90.00
_cell_angle_beta 90.00
_cell_angle_gamma 90.00
loop_
_atom_site_label
_atom_site_fract_x
_atom_site_fract_y
_atom_site_fract_z
Mg1 0.1579 0.3421 0.0000
Ti1 0.0000 0.0000 0.5000
P1 0.1562 0.6562 0.5000
```

Properties
* ΔH_f (0 K): -561.8 meV/atom

---

[4]
Entry from Alexandria via LeMat-Bulk: a relaxed Mn2CrHOs crystal (PBE).

Geometry as CIF:
```
data_Mn2CrHOs
_chemical_formula_sum 'Mn2 Cr1 H1 Os1'
_space_group_name_H-M_alt 'P 4/m m m'
_space_group_IT_number 123
_space_group_name_Hall '-P 4 2'
_cell_length_a 3.6860
_cell_length_b 3.6860
_cell_length_c 3.7306
_cell_angle_alpha 90.00
_cell_angle_beta 90.00
_cell_angle_gamma 90.00
loop_
_atom_site_label
_atom_site_fract_x
_atom_site_fract_y
_atom_site_fract_z
Mn1 0.0000 0.5000 0.0000
Cr1 0.0000 0.0000 0.5000
H1 0.0000 0.0000 0.0000
Os1 0.5000 0.5000 0.5000
```

Properties
* relative energy among the computed polymorphs: 0 meV per atom